1.
YTl2Te | GGA-PBEsol | relaxed

**Formation energy from raw total energies**: -7.9 kcal/mol of atoms
**Raw total energy**: -0.3120 Ry/atom
**ρ**: 9.4 Mg/m³
**V**: 27.54 Å³ per atom
**Space-group type**: No. 123

a = 4.2185 Å, b = 4.2185 Å, c = 6.1899 Å
α = 90.00°, β = 90.00°, γ = 90.00°
Last column: nearest neighbours and their distance in Å.
Atoms (fractional coordinates):
Tl: 0.0000 0.0000 0.7527  2 Tl 3.06-3.13, 4 Y 3.35, 4 Te 3.37
Tl: 0.0000 0.0000 0.2473  2 Tl 3.06-3.13, 4 Y 3.35, 4 Te 3.37
Te: 0.5000 0.5000 0.5000  2 Y 3.09, 8 Tl 3.37
Y: 0.5000 0.5000 0.0000  2 Te 3.09, 8 Tl 3.35

---

2.
YTl2Te | GGA-PBEsol | relaxed

**Formation energy from raw total energies**: -13.3 kcal/mol of atoms
**Raw total energy**: -0.3292 Ry/atom
**ρ**: 9.3 Mg/m³
**V**: 27.78 Å³ per atom
**Space-group type**: No. 99

a = 4.0504 Å, b = 4.0505 Å, c = 6.7727 Å
α = 90.02°, β = 90.00°, γ = 90.00°
Last column: nearest neighbours and their distance in Å.
Atoms (fractional coordinates):
Tl: 0.5000 0.5002 0.2416  1 Te 3.13, 4 Tl 3.23, 4 Y 3.48
Tl: 0.0000 0.0003 0.0217  4 Tl 3.23, 2 Y 3.31-3.47, 4 Te 3.59
Te: 0.5000 0.4998 0.7030  4 Y 3.09, 1 Tl 3.13
Y: 0.0000 0.9998 0.5337  4 Te 3.09, 1 Tl 3.31

---

3.
Y2TlTe | GGA-PBEsol | relaxed

**Formation energy from raw total energies**: -20.8 kcal/mol of atoms
**Raw total energy**: -0.4300 Ry/atom
**ρ**: 7.5 Mg/m³
**V**: 28.35 Å³ per atom
**Space-group type**: No. 166

a = 4.1101 Å, b = 4.1101 Å, c = 8.1076 Å
α = 75.32°, β = 75.32°, γ = 60.00°
Last column: nearest neighbours and their distance in Å.
Atoms (fractional coordinates):
Y: 0.2514 0.2514 0.2459  3 Te 3.04, 3 Tl 3.08
Y: 0.7486 0.7486 0.7541  3 Te 3.04, 3 Tl 3.08
Tl: 0.5000 0.5000 0.5000  6 Y 3.08
Te: 0.0000 0.0000 0.0000  6 Y 3.04

---

4.
YTl2Te | GGA-PBEsol | relaxed

**Formation energy from raw total energies**: -11.1 kcal/mol of atoms
**Raw total energy**: -0.3222 Ry/atom
**ρ**: 9.8 Mg/m³
**V**: 26.51 Å³ per atom
**Space-group type**: No. 44

a = 4.7138 Å, b = 4.7030 Å, c = 5.8279 Å
α = 113.80°, β = 113.85°, γ = 90.00°
Last column: nearest neighbours and their distance in Å.
Atoms (fractional coordinates):
Tl: 0.0000 0.0000 0.0000  4 Y 3.33, 4 Tl 3.35-3.36, 4 Te 3.35-3.36
Tl: 0.7499 0.2499 0.4999  4 Te 3.33, 4 Y 3.35-3.36, 4 Tl 3.35-3.36
Y: 0.5000 0.5000 0.0000  8 Tl 3.33-3.36, 4 Te 3.35-3.36
Te: 0.2501 0.7501 0.5001  8 Tl 3.33-3.36, 4 Y 3.35-3.36

---

5.
Y2TlTe | GGA-PBEsol | relaxed

**Formation energy from raw total energies**: -18.1 kcal/mol of atoms
**Raw total energy**: -0.4214 Ry/atom
**ρ**: 8.1 Mg/m³
**V**: 26.24 Å³ per atom
**Space-group type**: No. 123

a = 3.6451 Å, b = 3.6451 Å, c = 7.8987 Å
α = 90.00°, β = 90.00°, γ = 90.00°
Last column: nearest neighbours and their distance in Å.
Atoms (fractional coordinates):
Y: 0.0000 0.0000 0.2416  4 Te 3.21, 4 Tl 3.29
Y: 0.0000 0.0000 0.7584  4 Te 3.21, 4 Tl 3.29
Te: 0.5000 0.5000 0.0000  8 Y 3.21
Tl: 0.5000 0.5000 0.5000  8 Y 3.29, 4 Tl 3.65

---

6.
Y3TlTe | GGA-PBEsol | relaxed

**Formation energy from raw total energies**: 1.1 kcal/mol of atoms
**Raw total energy**: -0.3879 Ry/atom
**ρ**: 5.7 Mg/m³
**V**: 35.05 Å³ per atom
**Space-group type**: No. 221

a = 5.5962 Å, b = 5.5962 Å, c = 5.5962 Å
α = 90.00°, β = 90.00°, γ = 90.00°
Last column: nearest neighbours and their distance in Å.
Atoms (fractional coordinates):
Tl: 0.0000 0.0000 0.0000  6 Y 2.80
Y: 0.0000 0.5000 0.0000  2 Tl 2.80
Y: 0.5000 0.0000 0.0000  2 Tl 2.80
Y: 0.0000 0.0000 0.5000  2 Tl 2.80
Te: 0.5000 0.5000 0.5000  12 Y 3.96

---

7.
Y2TlTe | GGA-PBEsol | relaxed

**Formation energy from raw total energies**: -16.6 kcal/mol of atoms
**Raw total energy**: -0.4168 Ry/atom
**ρ**: 8.0 Mg/m³
**V**: 26.31 Å³ per atom
**Space-group type**: No. 123

a = 3.6194 Å, b = 5.3897 Å, c = 5.3949 Å
α = 90.00°, β = 90.00°, γ = 90.00°
Last column: nearest neighbours and their distance in Å.
Atoms (fractional coordinates):
Y: 0.0000 0.5000 0.5000  4 Tl 3.25, 4 Te 3.25, 2 Y 3.62
Y: 0.0000 0.0000 0.0000  4 Te 3.25, 4 Tl 3.25, 2 Y 3.62
Te: 0.5000 0.5000 0.0000  8 Y 3.25, 2 Te 3.62
Tl: 0.5000 0.0000 0.5000  8 Y 3.25, 2 Tl 3.62

---

8.
TlZnTe2 | GGA-PBEsol | relaxed

**Formation energy from raw total energies**: -2.1 kcal/mol of atoms
**Raw total energy**: -0.2137 Ry/atom
**ρ**: 6.4 Mg/m³
**V**: 34.03 Å³ per atom
**Space-group type**: No. 6

a = 4.3305 Å, b = 4.3868 Å, c = 7.3716 Å
α = 103.57°, β = 90.00°, γ = 90.00°
Last column: nearest neighbours and their distance in Å.
Atoms (fractional coordinates):
Te: 0.5000 0.8973 0.4106  1 Zn 2.57
Te: 0.0000 0.1538 0.9502  2 Zn 2.52
Zn: 0.5000 0.0682 0.7693  3 Te 2.52-2.57
Tl: 0.0000 0.3808 0.3700  5 Te 3.02-3.10

---

9.
TlZn2Te | GGA-PBEsol | relaxed

**Formation energy from raw total energies**: 1.1 kcal/mol of atoms
**Raw total energy**: -0.1676 Ry/atom
**ρ**: 8.3 Mg/m³
**V**: 23.26 Å³ per atom
**Space-group type**: No. 6

a = 4.0485 Å, b = 4.6064 Å, c = 5.3551 Å
α = 111.29°, β = 90.00°, γ = 90.00°
Last column: nearest neighbours and their distance in Å.
Atoms (fractional coordinates):
Zn: 0.0000 0.9153 0.0115  2 Zn 2.55
Zn: 0.5000 0.7989 0.2481  2 Zn 2.55, 2 Te 2.75, 1 Tl 2.84
Tl: 0.5000 0.2402 0.7904  4 Zn 2.84-3.00
Te: 0.0000 0.5456 0.4500  4 Zn 2.75-3.00

---

10.
TlZnTe2 | GGA-PBEsol | relaxed

**Formation energy from raw total energies**: -2.3 kcal/mol of atoms
**Raw total energy**: -0.2144 Ry/atom
**ρ**: 7.1 Mg/m³
**V**: 30.84 Å³ per atom
**Space-group type**: No. 8

a = 4.3469 Å, b = 4.3469 Å, c = 7.6946 Å
α = 81.28°, β = 81.28°, γ = 59.52°
Last column: nearest neighbours and their distance in Å.
Atoms (fractional coordinates):
Tl: 0.6459 0.6459 0.5187  1 Zn 2.66, 3 Te 2.92-2.96
Zn: 0.6128 0.6128 0.1807  3 Te 2.60-2.65, 1 Tl 2.66
Te: 0.9664 0.9664 0.0800  3 Zn 2.60-2.65
Te: 0.2748 0.2748 0.7205  3 Tl 2.92-2.96

---

11.
ZrTlTe4 | GGA-PBEsol | relaxed

**Formation energy from raw total energies**: 10.2 kcal/mol of atoms
**Raw total energy**: -0.2838 Ry/atom
**ρ**: 7.9 Mg/m³
**V**: 28.10 Å³ per atom
**Space-group type**: No. 216

a = 6.2011 Å, b = 6.2011 Å, c = 6.2011 Å
α = 60.00°, β = 60.00°, γ = 60.00°
Last column: nearest neighbours and their distance in Å.
Atoms (fractional coordinates):
Te: 0.3743 0.3743 0.3743  6 Te 3.08-3.12
Te: 0.3743 0.3743 0.8771  6 Te 3.08-3.12
Te: 0.3743 0.8771 0.3743  6 Te 3.08-3.12
Te: 0.8771 0.3743 0.3743  6 Te 3.08-3.12
Zr: 0.0000 0.0000 0.0000  12 Te 3.63, 4 Tl 3.80
Tl: 0.7500 0.7500 0.7500  12 Te 3.64, 4 Zr 3.80

---

12.
ZrTlTe | GGA-PBEsol | relaxed

**Formation energy from raw total energies**: 0.5 kcal/mol of atoms
**Raw total energy**: -0.3720 Ry/atom
**ρ**: 8.5 Mg/m³
**V**: 27.64 Å³ per atom
**Space-group type**: No. 216

a = 4.8948 Å, b = 4.8948 Å, c = 4.8948 Å
α = 60.00°, β = 60.00°, γ = 60.00°
Last column: nearest neighbours and their distance in Å.
Atoms (fractional coordinates):
Te: 0.0000 0.0000 0.0000  4 Zr 3.00
Tl: 0.5000 0.5000 0.5000  4 Zr 3.00
Zr: 0.2500 0.2500 0.2500  4 Tl 3.00, 4 Te 3.00

---

13.
ZrTlTe2 | GGA-PBEsol | relaxed

**Formation energy from raw total energies**: -16.0 kcal/mol of atoms
**Raw total energy**: -0.3959 Ry/atom
**ρ**: 7.9 Mg/m³
**V**: 28.95 Å³ per atom
**Space-group type**: No. 164

a = 3.9189 Å, b = 3.9189 Å, c = 8.7055 Å
α = 90.00°, β = 90.00°, γ = 120.00°
Last column: nearest neighbours and their distance in Å.
Atoms (fractional coordinates):
Zr: 0.0000 0.0000 0.0000  6 Te 2.90
Te: 0.3333 0.6667 0.2076  3 Zr 2.90
Te: 0.6667 0.3333 0.7924  3 Zr 2.90
Tl: 0.0000 0.0000 0.5000  6 Te 3.41

---

14.
ZrTlTe2 | GGA-PBEsol | relaxed

**Formation energy from raw total energies**: -5.9 kcal/mol of atoms
**Raw total energy**: -0.3636 Ry/atom
**ρ**: 8.6 Mg/m³
**V**: 26.58 Å³ per atom
**Space-group type**: No. 99

a = 3.7850 Å, b = 3.7850 Å, c = 7.4220 Å
α = 90.00°, β = 90.00°, γ = 90.00°
Last column: nearest neighbours and their distance in Å.
Atoms (fractional coordinates):
Te: 0.5000 0.5000 0.3187  4 Tl 3.00, 1 Zr 3.15
Te: 0.0000 0.0000 0.9370  4 Zr 3.04, 1 Tl 3.23
Zr: 0.5000 0.5000 0.7427  5 Te 3.04-3.15, 4 Tl 3.22
Tl: 0.0000 0.0000 0.5017  5 Te 3.00-3.23, 4 Zr 3.22

---

15.
ZrTlTe2 | GGA-PBEsol | relaxed

**Formation energy from raw total energies**: -12.7 kcal/mol of atoms
**Raw total energy**: -0.3853 Ry/atom
**ρ**: 7.7 Mg/m³
**V**: 29.66 Å³ per atom
**Space-group type**: No. 44

a = 3.7015 Å, b = 3.9048 Å, c = 8.6388 Å
α = 103.06°, β = 102.37°, γ = 90.00°
Last column: nearest neighbours and their distance in Å.
Atoms (fractional coordinates):
Te: 0.2758 0.2758 0.5516  4 Zr 2.96
Te: 0.0698 0.5698 0.1395  2 Zr 2.83
Zr: 0.7005 0.7005 0.4011  6 Te 2.83-2.96
Tl: 0.4539 0.9539 0.9078  6 Te 3.29-3.52

---

16.
ZrTlTe2 | GGA-PBEsol | relaxed

**Formation energy from raw total energies**: -4.4 kcal/mol of atoms
**Raw total energy**: -0.3590 Ry/atom
**ρ**: 9.0 Mg/m³
**V**: 25.46 Å³ per atom
**Space-group type**: No. 47

a = 3.6582 Å, b = 5.0693 Å, c = 5.4908 Å
α = 90.00°, β = 90.00°, γ = 90.00°
Last column: nearest neighbours and their distance in Å.
Atoms (fractional coordinates):
Tl: 0.5000 0.5000 0.0000  8 Te 3.13-3.30
Zr: 0.5000 0.0000 0.5000  8 Te 3.13-3.30
Te: 0.0000 0.5000 0.5000  4 Zr 3.13, 4 Tl 3.30
Te: 0.0000 0.0000 0.0000  4 Tl 3.13, 4 Zr 3.30

---

17.
ZrTl3Te | GGA-PBEsol | relaxed

**Formation energy from raw total energies**: 25.3 kcal/mol of atoms
**Raw total energy**: -0.2208 Ry/atom
**ρ**: 7.7 Mg/m³
**V**: 35.81 Å³ per atom
**Space-group type**: No. 221

a = 5.6361 Å, b = 5.6361 Å, c = 5.6361 Å
α = 90.00°, β = 90.00°, γ = 90.00°
Last column: nearest neighbours and their distance in Å.
Atoms (fractional coordinates):
Te: 0.0000 0.0000 0.0000  6 Tl 2.82
Tl: 0.0000 0.0000 0.5000  2 Te 2.82
Tl: 0.5000 0.0000 0.0000  2 Te 2.82
Tl: 0.0000 0.5000 0.0000  2 Te 2.82
Zr: 0.5000 0.5000 0.5000  12 Tl 3.99

---

18.
ZrTlTe2 | GGA-PBEsol | relaxed

**Formation energy from raw total energies**: 2.6 kcal/mol of atoms
**Raw total energy**: -0.3366 Ry/atom
**ρ**: 9.0 Mg/m³
**V**: 25.34 Å³ per atom
**Space-group type**: No. 216

a = 5.2337 Å, b = 5.2337 Å, c = 5.2337 Å
α = 60.00°, β = 60.00°, γ = 60.00°
Last column: nearest neighbours and their distance in Å.
Atoms (fractional coordinates):
Zr: 0.2500 0.2500 0.2500  4 Tl 3.20, 4 Te 3.20
Te: 0.0000 0.0000 0.0000  4 Te 3.20, 4 Zr 3.20
Te: 0.7500 0.7500 0.7500  4 Tl 3.20, 4 Te 3.20
Tl: 0.5000 0.5000 0.5000  4 Zr 3.20, 4 Te 3.20

---

19.
ZrTl2Te | GGA-PBEsol | relaxed

**Formation energy from raw total energies**: -1.9 kcal/mol of atoms
**Raw total energy**: -0.3346 Ry/atom
**ρ**: 10.5 Mg/m³
**V**: 24.83 Å³ per atom
**Space-group type**: No. 47

a = 3.6024 Å, b = 5.0019 Å, c = 5.5109 Å
α = 90.00°, β = 90.00°, γ = 90.00°
Last column: nearest neighbours and their distance in Å.
Atoms (fractional coordinates):
Tl: 0.5000 0.5000 0.0000  4 Tl 3.08, 4 Te 3.29
Tl: 0.0000 0.0000 0.0000  4 Tl 3.08, 4 Zr 3.29
Zr: 0.5000 0.0000 0.5000  4 Te 3.08, 4 Tl 3.29
Te: 0.0000 0.5000 0.5000  4 Zr 3.08, 4 Tl 3.29

---

20.
Zr3TlTe | GGA-PBEsol | relaxed

**Formation energy from raw total energies**: 12.4 kcal/mol of atoms
**Raw total energy**: -0.4518 Ry/atom
**ρ**: 7.1 Mg/m³
**V**: 28.30 Å³ per atom
**Space-group type**: No. 221

a = 5.2113 Å, b = 5.2113 Å, c = 5.2113 Å
α = 90.00°, β = 90.00°, γ = 90.00°
Last column: nearest neighbours and their distance in Å.
Atoms (fractional coordinates):
Tl: 0.5000 0.5000 0.5000  12 Zr 3.68
Zr: 0.5000 0.0000 0.0000  2 Te 2.61
Zr: 0.0000 0.5000 0.0000  2 Te 2.61
Zr: 0.0000 0.0000 0.5000  2 Te 2.61
Te: 0.0000 0.0000 0.0000  6 Zr 2.61